Record 1
A relaxed CsHgF crystal, computed with GGA-PBE.

Geometry as extended XYZ:
```
3
Lattice="4.1221 0.0000 0.0000 0.0000 4.1221 0.0000 -2.0611 -2.0611 7.2606" Properties=species:S:1:pos:R:3 pbc="T T T"
Cs 2.0611 2.0611 3.6366
Hg 0.0000 0.0000 0.3990
F 0.0000 0.0000 3.2250
```

Calculated values
- energy (eV per atom) = -2.673
- D(E_F) (states/eV/f.u.) = 0.00
- raw formation energy (eV per atom) = -1.664

---

Record 2
A relaxed CaTcW2 crystal, computed with GGA-PBE.

Geometry as extended XYZ:
```
4
Lattice="-4.5780 -1.0271 -2.6345 4.7037 -0.6564 -2.9228 0.0755 -2.7079 -0.0759" Properties=species:S:1:pos:R:3 pbc="T T T"
Tc 0.0628 -0.8418 -2.7787
W -2.2512 -1.8675 -1.3552
W 0.0000 0.0000 0.0000
Ca 2.3896 -1.6821 -1.4994
```

Calculated values
- formation energy (eV/atom) = 0.677
- energy (eV per atom) = -8.892
- D(E_F) (states/eV/f.u.) = 3.52

---

Record 3
A relaxed KAlFe crystal, computed with GGA-PBE.

Geometry as extended XYZ:
```
3
Lattice="-2.7378 4.2751 0.9671 -2.6724 0.4160 4.4038 1.5578 3.2918 3.6668" Properties=species:S:1:pos:R:3 pbc="T T T"
Al 0.0000 0.0000 0.0000
K -2.8893 5.9872 6.7782
Fe -1.9262 3.9915 4.5188
```

Calculated values
- formation energy (eV/atom) = 1.628
- energy (eV per atom) = -2.807
- D(E_F) (states/eV/f.u.) = 2.99

---

Record 4
A relaxed TePb2 crystal, computed with GGA-PBE.

Geometry as extended XYZ:
```
6
Lattice="0.0000 4.6114 4.6114 4.6114 0.0000 4.6114 4.6114 4.6114 0.0000" Properties=species:S:1:pos:R:3 pbc="T T T"
Pb 3.4586 3.4586 1.1529
Pb 3.4586 1.1529 3.4586
Pb 1.1529 3.4586 3.4586
Pb 1.1529 1.1529 1.1529
Te 4.6114 4.6114 4.6114
Te 6.9171 6.9171 6.9171
```

Calculated values
- energy (eV per atom) = -3.350
- D(E_F) (states/eV/f.u.) = 2.00
- raw formation energy (eV per atom) = 0.169

---

Record 5
A relaxed NaBiHPb2 crystal, computed with GGA-PBE.

Geometry as extended XYZ:
```
5
Lattice="-3.3599 -2.8412 2.3339 3.6719 -2.4274 2.3311 -0.1974 3.3805 3.8310" Properties=species:S:1:pos:R:3 pbc="T T T"
Bi -0.0987 1.6902 1.9155
Na 0.0573 -0.9440 4.2480
Pb 1.8359 -1.2137 1.1655
Pb -1.6800 -1.4206 1.1670
H 0.0000 0.0000 0.0000
```

Calculated values
- energy (eV per atom) = -3.116
- D(E_F) (states/eV/f.u.) = 2.03

---

Record 6
A relaxed KScNF2 crystal, computed with GGA-PBE.

Geometry as extended XYZ:
```
5
Lattice="4.3903 0.0000 0.0000 0.0000 4.3903 0.0000 0.0000 0.0000 4.8145" Properties=species:S:1:pos:R:3 pbc="T T T"
K 0.0000 0.0000 0.0000
F 0.0000 2.1951 0.0000
F 2.1951 0.0000 0.0000
N 0.0000 0.0000 2.4072
Sc 2.1951 2.1951 2.4072
```

Calculated values
- energy (eV per atom) = -4.365
- D(E_F) (states/eV/f.u.) = 0.61
- raw formation energy (eV per atom) = -0.466

---

Record 7
A relaxed In2Pb2Se5 crystal, computed with GGA-PBE.

Geometry as extended XYZ:
```
9
Lattice="4.2688 0.0000 0.0000 -2.1344 9.9291 0.6150 0.0000 -1.0670 6.8483" Properties=species:S:1:pos:R:3 pbc="T T T"
Pb 0.0000 7.9353 5.1030
Pb 2.1344 0.9267 2.3604
Se 2.1344 6.5419 3.6422
Se 0.0000 5.4941 6.6231
Se 0.0000 0.0000 0.0000
Se 2.1344 3.3679 0.8403
Se 0.0000 2.3201 3.8212
In 0.0000 1.5861 6.2655
In 2.1344 7.2759 1.1979
```

Calculated values
- energy (eV per atom) = -3.843
- raw formation energy (eV per atom) = -0.475

---

Record 8
A relaxed Tb2PmPr5Sm crystal, computed with GGA-PBE.

Geometry as extended XYZ:
```
18
Lattice="-1.4340 -4.4392 -3.3658 3.1274 -4.3293 9.2932 -10.1168 0.5075 3.6410" Properties=species:S:1:pos:R:3 pbc="T T T"
Pr -5.5051 -3.3934 1.9053
Pr -7.8652 -4.6860 4.6157
Pr -1.7981 -3.5127 5.3990
Pr -5.6955 -3.5165 7.0645
Pr 1.6202 -5.0951 6.0297
Pr -3.0663 -2.3746 -0.4775
Pr -1.7953 -4.7912 2.1683
Pr -3.6614 -8.2924 7.5810
Pr -5.2020 -5.8941 9.9902
Pr -0.1408 -0.2003 0.3242
Sm -9.9417 -2.9030 3.1487
Sm -2.6154 -5.1506 7.9074
Tb -6.8966 -1.0969 4.3850
Tb -1.2268 -7.1791 5.0754
Tb -2.6701 -1.3722 2.9474
Tb -7.1647 -6.8179 7.1290
Pm 0.8637 -2.6146 3.0804
Pm -4.4297 -5.8900 4.7399
```

Calculated values
- formation energy (eV/atom) = 0.140
- energy (eV per atom) = -4.597
- D(E_F) (states/eV/f.u.) = 13.73

---

| no. | size of the total moment (μB/f.u.) |
| --- | --- |
| 1 | 0.0 |
| 2 | 0.0 |
| 3 | 3.0 |
| 4 | 0.0 |
| 5 | 0.0 |
| 6 | 1.0 |
| 7 | 0.0 |
| 8 | 0.0 |